GGA+U FeTeF3, relaxed; electronic total energy = -4.09 eV/atom; symmetry = No. 221; DOS at the Fermi energy = 1.607 states/eV per atom; energy relative to the lowest polymorph listed for this composition = 0.0 meV/atom
1.0
4.209 0.000 0.000
0.000 4.209 0.000
0.000 0.000 4.209
Te Fe F
1 1 3
Direct
0.500 0.500 0.500 Te
0.000 0.000 0.000 Fe
0.000 0.000 0.500 F
0.000 0.500 0.000 F
0.500 0.000 0.000 F